No. 1
Compound: PtS2
Source: OQMD via LeMat-Bulk
Functional: PBE-GGA
Structure: relaxed

Structure (POSCAR):
```
PtS2
1.0
1.755 -3.037 0.000
1.755 3.037 0.000
0.000 0.000 28.015
Pt S
4 8
Cartesian
0.844 0.001 25.598
0.844 -0.001 2.417
2.666 0.001 16.425
2.666 -0.001 11.590
0.911 1.008 10.197
0.912 1.008 12.972
0.912 -1.008 15.043
0.911 -1.008 17.818
2.598 1.008 1.036
2.598 1.008 3.811
2.598 -1.008 24.204
2.598 -1.008 26.979
```

Results
- total energy (eV per formula unit) = -13.71
- size of the total moment (μB per cell) = 0.00

=====

No. 2
Compound: TbZrPd
Source: OQMD via LeMat-Bulk
Functional: PBE-GGA
Structure: relaxed

Structure (POSCAR):
```
TbZrPd
1.0
0.000 3.350 3.350
3.350 0.000 3.350
3.350 3.350 0.000
Tb Zr Pd
1 1 1
Cartesian
0.000 0.000 0.000
3.350 3.350 3.350
1.675 1.675 1.675
```

Results
- total energy (eV per formula unit) = -18.93
- size of the total moment (μB per cell) = 0.05

=====

No. 3
Compound: HoHfSi2
Source: OQMD via LeMat-Bulk
Functional: PBE-GGA
Structure: relaxed

Structure (POSCAR):
```
HoHfSi2
1.0
5.473 0.000 0.000
0.000 3.777 0.000
-0.192 0.000 7.353
Ho Hf Si
2 2 4
Cartesian
0.651 0.944 1.328
4.631 2.833 6.025
1.975 0.944 4.965
3.306 2.833 2.388
0.691 2.833 3.426
1.828 2.833 7.015
3.453 0.944 0.338
4.590 0.944 3.927
```

Results
- total energy (eV per formula unit) = -28.44
- size of the total moment (μB per cell) = 0.00

=====

No. 4
Compound: SbPt15
Source: OQMD via LeMat-Bulk
Functional: PBE-GGA
Structure: relaxed

Structure (POSCAR):
```
SbPt15
1.0
3.948 0.000 0.000
0.000 3.948 0.000
0.000 0.000 44.569
Sb Pt
2 30
Cartesian
0.987 0.000 7.150
2.961 0.000 37.419
0.987 0.000 11.379
0.987 0.000 15.327
0.987 0.000 19.286
0.987 0.000 23.277
0.987 0.000 27.262
0.987 0.000 31.208
0.987 0.000 35.219
0.987 1.974 9.351
0.987 1.974 13.361
0.987 1.974 17.308
0.987 1.974 21.291
0.987 1.974 25.286
0.987 1.974 29.239
0.987 1.974 33.216
0.987 1.974 37.204
2.961 0.000 9.350
2.961 0.000 13.362
2.961 0.000 17.308
2.961 0.000 21.293
2.961 0.000 25.283
2.961 0.000 29.243
2.961 0.000 33.190
2.961 1.974 7.365
2.961 1.974 11.353
2.961 1.974 15.331
2.961 1.974 19.284
2.961 1.974 23.279
2.961 1.974 27.261
2.961 1.974 31.208
2.961 1.974 35.219
```

Results
- total energy (eV per formula unit) = -94.92
- size of the total moment (μB per cell) = 0.00

=====

No. 5
Compound: TbTlO3
Source: OQMD via LeMat-Bulk
Functional: PBE-GGA
Structure: relaxed

Structure (POSCAR):
```
TbTlO3
1.0
5.949 0.000 0.000
0.000 8.522 0.000
0.000 0.000 5.584
Tb Tl O
4 4 12
Cartesian
0.408 2.130 0.151
2.567 6.391 2.943
3.382 2.130 2.642
5.541 6.391 5.434
0.000 0.000 2.792
0.000 4.261 2.792
2.974 0.000 0.000
2.974 4.261 0.000
0.512 6.391 1.879
1.117 4.988 4.534
1.117 7.795 4.534
1.858 0.727 1.742
1.858 3.534 1.742
2.463 2.130 4.671
3.486 6.391 0.913
4.091 4.988 3.842
4.091 7.795 3.842
4.832 0.727 1.050
4.832 3.534 1.050
5.437 2.130 3.705
```

Results
- total energy (eV per formula unit) = -31.95
- size of the total moment (μB per cell) = 0.01

=====

No. 6
Compound: PrNdAg2As4
Source: OQMD via LeMat-Bulk
Functional: PBE-GGA
Structure: relaxed

Structure (POSCAR):
```
PrNdAg2As4
1.0
4.075 0.000 0.000
0.000 4.075 0.000
0.000 0.000 10.591
Pr Nd Ag As
1 1 2 4
Cartesian
0.000 0.000 0.000
2.038 2.038 5.748
0.000 2.038 2.884
2.038 0.000 2.884
0.000 0.000 4.777
0.000 2.038 8.159
2.038 0.000 8.159
2.038 2.038 0.990
```

Results
- total energy (eV per formula unit) = -39.98
- size of the total moment (μB per cell) = 0.00

=====

No. 7
Compound: PrHoZn2Pb2
Source: OQMD via LeMat-Bulk
Functional: PBE-GGA
Structure: relaxed

Structure (POSCAR):
```
PrHoZn2Pb2
1.0
4.657 0.000 0.000
-2.329 4.033 0.000
0.000 0.000 16.203
Pr Ho Zn Pb
2 2 4 4
Cartesian
0.000 0.000 4.051
0.000 0.000 12.152
0.000 0.000 0.000
0.000 0.000 8.101
0.000 2.689 2.594
0.000 2.689 5.507
2.329 1.344 10.695
2.329 1.344 13.608
0.000 2.689 9.830
0.000 2.689 14.474
2.329 1.344 1.729
2.329 1.344 6.373
```

Results
- total energy (eV per formula unit) = -21.83
- size of the total moment (μB per cell) = 0.00

=====

No. 8
Compound: K3GdAs2S8
Source: OQMD via LeMat-Bulk
Functional: PBE-GGA
Structure: relaxed

Structure (POSCAR):
```
K3GdAs2S8
1.0
5.240 -9.513 0.000
5.240 9.513 0.000
-4.141 0.000 7.967
K Gd As S
6 2 4 16
Cartesian
0.000 0.000 0.000
-2.071 0.000 3.983
2.134 4.972 5.975
2.134 0.092 5.975
4.204 -0.092 1.992
4.204 -4.972 1.992
4.204 4.623 1.992
2.134 -4.623 5.975
-0.774 2.358 7.157
1.297 -2.358 3.174
5.041 2.358 4.793
7.112 -2.358 0.809
-0.826 3.384 5.216
1.856 3.299 0.479
-1.028 0.227 6.953
1.043 -0.227 2.969
3.123 2.761 3.797
1.245 -3.384 1.233
5.286 2.761 0.186
-0.215 -3.299 4.463
6.553 3.299 3.504
1.052 -2.761 7.780
5.093 3.384 6.734
3.215 -2.761 4.170
5.296 0.227 4.997
7.366 -0.227 1.014
4.483 -3.299 7.487
7.164 -3.384 2.751
```

Results
- total energy (eV per formula unit) = -63.03
- size of the total moment (μB per cell) = 0.01